Crystalline Li2Mg2Al2AgIr at its relaxed geometry. Source: the Open Quantum Materials Database, functional PBE.

Crystal system: tetragonal
VASP energy (eV/atom): -3.662

Unit cell a=4.4337 b=4.4337 c=6.3725 alpha=90.00 beta=90.00 gamma=90.00
With the nearest neighbours (Å) after each atom.
Space group P-4m2 (No. 115)
One atom of each set of equivalent atoms:
Li: 0.0000 0.0000 0.0000 x1  4 Al 2.63, 4 Mg 2.70
Li: 0.5000 0.5000 0.5000 x1  4 Mg 2.76, 4 Al 2.84
Mg: 0.0000 0.5000 0.2421 x2  2 Ir 2.70, 4 Li 2.70-2.76, 2 Ag 2.76, 1 Al 2.95
Al: 0.0000 0.5000 0.7787 x2  2 Ir 2.63, 4 Li 2.63-2.84, 2 Ag 2.84
Ag: 0.0000 0.0000 0.5000 x1  4 Mg 2.76, 4 Al 2.84
Ir: 0.5000 0.5000 0.0000 x1  4 Al 2.63, 4 Mg 2.70